1.
This record from Alexandria describes a relaxed structure of PmPa2Te8. The functional is PBE.

abc: 5.8523 8.1534 8.1534
angles: 113.76 92.88 92.88
With the nearest neighbours (Å) after each atom.
Sites, in units of the cell vectors:
1 Te 0.3112 0.6023 0.6023  1 Te 2.99, 2 Pa 3.27
2 Te 0.5000 0.7609 0.2391  2 Pa 3.07, 1 Pm 3.27, 2 Te 3.36
3 Te 0.6888 0.3977 0.3977  1 Te 2.99, 2 Pa 3.27
4 Te 0.8787 0.9243 0.6783  2 Pa 2.99-3.13
5 Te 0.1213 0.3217 0.0757  2 Pa 2.99-3.13
6 Te 0.8787 0.6783 0.9243  2 Pa 2.99-3.13
7 Te 0.5000 0.2391 0.7609  2 Pa 3.07, 1 Pm 3.27, 2 Te 3.36
8 Te 0.1213 0.0757 0.3217  2 Pa 2.99-3.13
9 Pm 0.5000 0.0000 0.0000  8 Te 3.27-3.61
10 Pa 0.0000 0.6918 0.3082  8 Te 2.99-3.27
11 Pa 0.0000 0.3082 0.6918  8 Te 2.99-3.27

Uncorrected energy, eV per atom: -5.154
Formation energy from raw total energies, eV/atom: -0.71
D(E_F), states/eV/f.u.: 6.10
Magnetic moment, μB/cell: 0.00

=====

2.
This record from Alexandria describes a relaxed structure of Ti2Rh2C. The functional is PBE.

abc: 5.0619 5.0619 4.7846
angles: 58.06 58.06 90.00
With the nearest neighbours (Å) after each atom.
Sites, in units of the cell vectors:
1 Ti 0.2500 0.7500 0.5000  4 Rh 2.55
2 Ti 0.7500 0.2500 0.5000  4 Rh 2.55
3 C 0.0000 0.0000 0.0000  2 Rh 1.86
4 Rh 0.2928 0.2928 0.4144  1 C 1.86
5 Rh 0.7072 0.7072 0.5856  1 C 1.86

Uncorrected energy, eV per atom: -7.508
Offset from the most stable computed form, eV per atom: 0.503
Formation enthalpy at 0 K, eV per atom: 0.435
D(E_F), states/eV/f.u.: 4.91
Magnetic moment, μB/cell: 0.00

=====

3.
This record from Alexandria describes a relaxed structure of Tb6Co2Pd. The functional is PBE.

abc: 8.2502 8.2502 8.2502
angles: 107.83 110.27 110.32
With the nearest neighbours (Å) after each atom.
Sites, in units of the cell vectors:
1 Tb 0.3154 0.6407 0.3253  3 Co 2.69-2.89
2 Tb 0.1898 0.7585 0.9484  1 Co 2.71, 1 Pd 2.95
3 Tb 0.6846 0.3593 0.6747  3 Co 2.69-2.89
4 Tb 0.0968 0.2763 0.8204  3 Co 2.93-2.99, 1 Pd 3.11
5 Tb 0.8102 0.2415 0.0516  1 Co 2.71, 1 Pd 2.95
6 Tb 0.1898 0.2415 0.4313  1 Co 2.71, 1 Pd 2.95
7 Tb 0.9032 0.7237 0.1796  3 Co 2.93-2.99, 1 Pd 3.11
8 Tb 0.4559 0.2763 0.1796  3 Co 2.93-2.99, 1 Pd 3.11
9 Tb 0.6846 0.0099 0.3253  3 Co 2.69-2.89
10 Tb 0.5441 0.7237 0.8204  3 Co 2.93-2.99, 1 Pd 3.11
11 Tb 0.3154 0.9901 0.6747  3 Co 2.69-2.89
12 Tb 0.8102 0.7585 0.5687  1 Co 2.71, 1 Pd 2.95
13 Co 0.3341 0.0000 0.3341  8 Tb 2.71-2.99
14 Co 0.6659 0.0000 0.6659  8 Tb 2.71-2.99
15 Co 0.5000 0.6147 0.1147  1 Co 2.23
16 Co 0.5000 0.3853 0.8853  1 Co 2.23
17 Pd 0.0000 0.5000 0.5000  8 Tb 3.09-3.42
18 Pd 0.0000 0.0000 0.0000  8 Tb 2.95-3.11, 2 Co 3.15

Uncorrected energy, eV per atom: -5.553
Formation enthalpy at 0 K, eV per atom: -0.310
D(E_F), states/eV/f.u.: 9.28
Magnetic moment, μB/cell: 0.00

=====

4.
This record from Alexandria describes a relaxed structure of Mg2ScCr. The functional is PBE.

abc: 4.8804 4.8804 4.8804
angles: 60.00 60.00 60.00
With the nearest neighbours (Å) after each atom.
Sites, in units of the cell vectors:
1 Cr 0.5000 0.5000 0.5000  4 Sc 2.99, 4 Mg 2.99
2 Mg 0.2500 0.2500 0.2500  4 Cr 2.99, 4 Mg 2.99
3 Mg 0.0000 0.0000 0.0000  4 Mg 2.99, 4 Sc 2.99
4 Sc 0.7500 0.7500 0.7500  4 Cr 2.99, 4 Mg 2.99

Uncorrected energy, eV per atom: -4.595
Offset from the most stable computed form, eV per atom: 0.017
Formation enthalpy at 0 K, eV per atom: 0.191
D(E_F), states/eV/f.u.: 1.96
Magnetic moment, μB/cell: 4.54

=====

5.
This record from Alexandria describes a relaxed structure of CsNbCS. The functional is PBE.

abc: 3.4459 3.4459 7.9007
angles: 90.00 90.00 120.00
With the nearest neighbours (Å) after each atom.
Sites, in units of the cell vectors:
1 C 0.6667 0.3333 0.7866  3 Nb 2.18
2 Nb 0.3333 0.6667 0.8999  3 C 2.18
3 S 0.6667 0.3333 0.1122  1 C 2.57, 3 Nb 2.60
4 Cs 0.0000 0.0000 0.4628  3 C 3.24, 3 S 3.41, 6 Cs 3.45

Uncorrected energy, eV per atom: -6.230
Formation energy from raw total energies, eV/atom: -0.16
Offset from the most stable computed form, eV per atom: 0.051
D(E_F), states/eV/f.u.: 0.10
Magnetic moment, μB/cell: 0.00

=====

6.
This record from Alexandria describes a relaxed structure of Zn2OsPb2. The functional is PBE.

abc: 4.1740 4.1740 7.1755
angles: 73.09 73.09 90.00
With the nearest neighbours (Å) after each atom.
Sites, in units of the cell vectors:
1 Zn 0.5866 0.5866 0.8268  1 Zn 2.27
2 Zn 0.4134 0.4134 0.1732  1 Zn 2.27
3 Pb 0.7500 0.2500 0.5000  4 Pb 2.95, 4 Zn 2.99
4 Pb 0.2500 0.7500 0.5000  4 Pb 2.95, 4 Zn 2.99
5 Os 0.0000 0.0000 0.0000  8 Zn 3.16

Uncorrected energy, eV per atom: -3.032
Offset from the most stable computed form, eV per atom: 0.587
Formation enthalpy at 0 K, eV per atom: 1.207
D(E_F), states/eV/f.u.: 3.18
Magnetic moment, μB/cell: 1.25